{
  "formula": "RbLiPtPb2",
  "functional": "PBE",
  "state": "optimized geometry",
  "e_tot_ev_per_atom": -3.12,
  "formation_enthalpy_0k_ev_per_atom": 0.15,
  "sg": "P4/mmm",
  "total_magnetization_mub_per_cell": 0.000,
  "lattice": [[-1.619, -2.848, 4.094], [-1.359, -3.578, -3.027], [4.768, -2.144, 0.395]],
  "species": ["Li", "Rb", "Pt", "Pb", "Pb"],
  "fractional_positions": [[0.000, 0.000, 0.000], [0.500, 0.500, 0.500], [0.000, 0.500, 0.000], [0.500, 0.000, 0.000], [0.000, 0.000, 0.500]]
}

{
  "formula": "RbLiPtPb2",
  "functional": "PBE",
  "state": "optimized geometry",
  "e_tot_ev_per_atom": -3.38,
  "formation_enthalpy_0k_ev_per_atom": -0.11,
  "sg": "P4/mmm",
  "total_magnetization_mub_per_cell": 0.000,
  "lattice": [[5.452, 0.000, 0.000], [0.000, 5.452, 0.000], [0.000, 0.000, 5.329]],
  "species": ["Li", "Pt", "Rb", "Pb", "Pb"],
  "fractional_positions": [[0.000, 0.000, 0.500], [0.000, 0.000, 0.000], [0.500, 0.500, 0.500], [0.500, 0.000, 0.000], [0.000, 0.500, 0.000]]
}

{
  "formula": "LiSi3Pt12Pb2",
  "functional": "PBE",
  "state": "optimized geometry",
  "e_tot_ev_per_atom": -5.72,
  "formation_energy_uncorrected_ev_per_atom": -0.268,
  "sg": "R-3m",
  "total_magnetization_mub_per_cell": 0.000,
  "lattice": [[7.413, -0.467, -0.331], [3.255, 6.677, -0.331], [3.255, 1.894, 6.411]],
  "species": ["Pt", "Pt", "Si", "Pt", "Pb", "Si", "Pt", "Pt", "Pt", "Pt", "Pb", "Pt", "Si", "Pt", "Pt", "Pt", "Li", "Pt"],
  "fractional_positions": [[0.624, 0.141, 0.141], [0.376, 0.859, 0.859], [0.500, 0.000, 0.000], [0.639, 0.107, 0.639], [0.609, 0.609, 0.609], [0.000, 0.500, 0.000], [0.141, 0.141, 0.624], [0.107, 0.639, 0.639], [0.141, 0.624, 0.141], [0.361, 0.361, 0.893], [0.391, 0.391, 0.391], [0.893, 0.361, 0.361], [0.000, 0.000, 0.500], [0.639, 0.639, 0.107], [0.859, 0.859, 0.376], [0.859, 0.376, 0.859], [0.000, 0.000, 0.000], [0.361, 0.893, 0.361]]
}